Material: NdThNi10
Method: DFT, PBE
State: relaxed

Structure (extended XYZ):
```
12
Lattice="3.982 0.000 0.000 0.000 4.959 0.000 0.000 0.000 8.567" Properties=species:S:1:pos:R:3 pbc="T T T"
Nd 0.000 0.000 0.000
Th 0.000 2.480 4.283
Ni 0.000 0.000 2.874
Ni 0.000 0.000 5.693
Ni 0.000 2.480 1.448
Ni 0.000 2.480 7.119
Ni 1.991 0.000 4.283
Ni 1.991 1.248 2.156
Ni 1.991 1.248 6.411
Ni 1.991 2.480 0.000
Ni 1.991 3.712 2.156
Ni 1.991 3.712 6.411
```

total moment = 2.31 μB per formula unit
energy of formation = -0.342 eV/atom
final energy = -6.176 eV/atom
V = 14.10 Å³/atom

Material: NdThNi4
Method: DFT, PBE
State: relaxed

Structure (extended XYZ):
```
6
Lattice="0.000 3.657 3.657 3.657 0.000 3.657 3.657 3.657 0.000" Properties=species:S:1:pos:R:3 pbc="T T T"
Nd 0.000 0.000 0.000
Th 1.829 1.829 1.829
Ni 4.568 2.747 2.747
Ni 2.747 4.568 2.747
Ni 2.747 2.747 4.568
Ni 4.568 4.568 4.568
```

total moment = 0.00 μB per formula unit
energy of formation = -0.327 eV/atom
final energy = -6.213 eV/atom
V = 16.31 Å³/atom

Material: NdTh2Ni
Method: DFT, PBE
State: relaxed

Structure (extended XYZ):
```
4
Lattice="1.837 1.061 10.327 -1.837 1.061 10.327 0.000 -2.121 10.327" Properties=species:S:1:pos:R:3 pbc="T T T"
Nd 0.000 0.000 0.000
Th 0.000 0.000 3.381
Th 0.000 0.000 27.601
Ni 0.000 0.000 15.491
```

total moment = 0.00 μB per formula unit
energy of formation = 0.127 eV/atom
final energy = -6.220 eV/atom
V = 30.19 Å³/atom

Material: NdThNi
Method: DFT, PBE
State: relaxed

Structure (extended XYZ):
```
3
Lattice="3.785 0.000 0.000 -1.892 3.278 0.000 0.000 0.000 6.555" Properties=species:S:1:pos:R:3 pbc="T T T"
Nd 0.000 0.000 0.000
Th 0.000 2.185 3.555
Ni 1.892 1.093 1.897
```

total moment = 0.00 μB per formula unit
energy of formation = -0.107 eV/atom
final energy = -6.097 eV/atom
V = 27.11 Å³/atom

Material: NdTh3Ni8
Method: DFT, PBE
State: relaxed

Structure (extended XYZ):
```
12
Lattice="2.591 1.496 8.444 -2.591 1.496 8.444 0.000 -2.992 8.444" Properties=species:S:1:pos:R:3 pbc="T T T"
Nd 0.000 0.000 0.000
Th 0.000 0.000 9.356
Th 0.000 0.000 12.566
Th 0.000 0.000 22.184
Ni 0.000 0.000 4.698
Ni 0.000 -1.489 15.231
Ni -1.290 0.745 15.231
Ni -1.286 -0.742 19.495
Ni 0.000 0.000 17.376
Ni 1.290 0.745 15.231
Ni 1.286 -0.742 19.495
Ni 0.000 1.485 19.495
```

total moment = 0.00 μB per formula unit
energy of formation = -0.336 eV/atom
final energy = -6.443 eV/atom
V = 16.36 Å³/atom

Material: NdTiNi
Method: DFT, PBE
State: relaxed

Structure (extended XYZ):
```
6
Lattice="10.991 0.000 0.000 0.000 2.329 2.330 0.000 -2.329 2.330" Properties=species:S:1:pos:R:3 pbc="T T T"
Nd 1.824 0.000 0.000
Nd 9.167 0.000 0.000
Ti 4.203 0.000 2.332
Ti 6.788 0.000 2.332
Ni 0.000 0.000 2.328
Ni 5.496 0.000 0.004
```

total moment = 0.64 μB per formula unit
energy of formation = 0.013 eV/atom
final energy = -6.135 eV/atom
V = 19.88 Å³/atom

Material: Nd3Tl2Ni
Method: DFT, PBE
State: relaxed

Structure (extended XYZ):
```
12
Lattice="7.553 -3.267 0.000 7.553 3.267 0.000 -1.621 0.000 6.716" Properties=species:S:1:pos:R:3 pbc="T T T"
Nd 6.337 2.511 5.037
Nd 4.751 0.593 2.756
Nd 3.940 -0.593 6.114
Nd 9.545 0.593 0.602
Nd 8.734 -0.593 3.959
Nd 7.148 -2.511 1.679
Tl 2.527 0.682 0.320
Tl 1.716 -0.682 3.678
Tl 11.769 0.682 3.038
Tl 10.959 -0.682 6.396
Ni 7.148 1.057 1.679
Ni 6.337 -1.057 5.037
```

total moment = 0.00 μB per formula unit
energy of formation = -0.231 eV/atom
final energy = -4.367 eV/atom
V = 27.62 Å³/atom

Material: Nd4Tl2Ni
Method: DFT, PBE
State: relaxed

Structure (extended XYZ):
```
7
Lattice="6.749 0.000 0.000 0.000 3.850 0.000 -1.965 0.000 8.513" Properties=species:S:1:pos:R:3 pbc="T T T"
Nd 0.393 0.000 2.898
Nd -0.186 1.925 8.340
Nd 4.970 1.925 0.174
Nd 4.390 0.000 5.616
Tl 1.447 1.925 5.555
Tl 3.337 1.925 2.958
Ni 0.000 0.000 0.000
```

total moment = 0.00 μB per formula unit
energy of formation = -0.108 eV/atom
final energy = -4.335 eV/atom
V = 31.60 Å³/atom

Material: Nd4TlNi2
Method: DFT, PBE
State: relaxed

Structure (extended XYZ):
```
7
Lattice="2.450 1.414 9.306 -2.450 1.414 9.306 0.000 -2.829 9.306" Properties=species:S:1:pos:R:3 pbc="T T T"
Nd 0.000 0.000 3.138
Nd 0.000 0.000 8.283
Nd 0.000 0.000 19.636
Nd 0.000 0.000 24.781
Tl 0.000 0.000 13.959
Ni 0.000 0.000 11.157
Ni 0.000 0.000 16.761
```

total moment = 0.00 μB per formula unit
energy of formation = -0.136 eV/atom
final energy = -4.850 eV/atom
V = 27.64 Å³/atom

Material: Nd5Tl2Ni
Method: DFT, PBE
State: relaxed

Structure (extended XYZ):
```
8
Lattice="0.000 5.085 4.558 5.083 0.000 4.558 5.083 5.085 0.000" Properties=species:S:1:pos:R:3 pbc="T T T"
Nd 0.000 0.000 0.000
Nd 7.626 5.085 6.738
Nd 5.083 2.539 6.751
Nd 2.540 5.085 6.738
Nd 5.083 7.631 6.751
Tl 2.541 2.542 4.459
Tl 7.624 7.627 9.017
Ni 5.083 5.085 3.556
```

total moment = 0.00 μB per formula unit
energy of formation = -0.127 eV/atom
final energy = -4.421 eV/atom
V = 29.45 Å³/atom

Material: Nd12TlNi5
Method: DFT, PBE
State: relaxed

Structure (extended XYZ):
```
18
Lattice="-4.829 4.981 5.150 4.829 -4.981 5.150 4.829 4.981 -5.150" Properties=species:S:1:pos:R:3 pbc="T T T"
Nd 4.829 3.095 -3.031
Nd 2.900 1.804 0.000
Nd 6.758 1.804 0.000
Nd 1.862 4.981 -1.831
Nd 2.967 0.000 3.319
Nd 0.000 1.887 2.118
Nd 4.829 3.095 3.031
Nd 1.862 4.981 1.831
Nd 2.967 0.000 6.980
Nd -1.929 3.177 5.150
Nd 1.929 3.177 5.150
Nd 0.000 1.887 8.181
Tl 0.000 0.000 5.150
Ni 0.000 0.000 0.000
Ni 4.829 0.000 1.267
Ni 0.000 3.682 0.000
Ni 0.000 6.280 0.000
Ni 0.000 4.981 3.883
```

total moment = 0.00 μB per formula unit
energy of formation = -0.240 eV/atom
final energy = -5.156 eV/atom
V = 27.53 Å³/atom

Material: Nd6Tl2Ni
Method: DFT, PBE
State: relaxed

Structure (extended XYZ):
```
9
Lattice="9.030 0.000 0.000 -4.515 7.820 0.000 0.000 0.000 3.824" Properties=species:S:1:pos:R:3 pbc="T T T"
Nd -1.817 3.147 0.000
Nd -3.453 5.981 1.912
Nd 1.062 1.840 1.912
Nd 3.634 0.000 0.000
Nd 2.698 4.674 0.000
Nd 6.906 0.000 1.912
Tl 0.000 5.214 1.912
Tl 4.515 2.607 1.912
Ni 0.000 0.000 0.000
```

total moment = 0.00 μB per formula unit
energy of formation = -0.257 eV/atom
final energy = -4.604 eV/atom
V = 30.01 Å³/atom

Material: Nd5Tl2Ni
Method: DFT, PBE
State: relaxed

Structure (extended XYZ):
```
16
Lattice="7.759 0.000 0.000 0.000 12.629 0.000 0.000 0.000 4.880" Properties=species:S:1:pos:R:3 pbc="T T T"
Nd 0.000 0.000 0.000
Nd 0.984 3.728 0.000
Nd 1.383 7.254 2.440
Nd 2.496 0.940 2.440
Nd 2.895 10.043 0.000
Nd 3.879 6.315 0.000
Nd 4.864 2.587 0.000
Nd 5.263 11.690 2.440
Nd 6.375 5.375 2.440
Nd 6.774 8.901 0.000
Tl 0.701 10.545 2.440
Tl 3.178 4.231 2.440
Tl 4.581 8.399 2.440
Tl 7.057 2.084 2.440
Ni 0.000 6.315 0.000
Ni 3.879 0.000 0.000
```

total moment = 0.00 μB per formula unit
energy of formation = -0.271 eV/atom
final energy = -4.566 eV/atom
V = 29.89 Å³/atom

Material: NdTl2Ni
Method: DFT, PBE
State: relaxed

Structure (extended XYZ):
```
4
Lattice="1.780 1.028 9.964 -1.780 1.028 9.964 0.000 -2.056 9.964" Properties=species:S:1:pos:R:3 pbc="T T T"
Nd 0.000 0.000 0.000
Tl 0.000 0.000 3.220
Tl 0.000 0.000 26.673
Ni 0.000 0.000 14.947
```

total moment = 0.00 μB per formula unit
energy of formation = 0.306 eV/atom
final energy = -3.514 eV/atom
V = 27.35 Å³/atom

Material: Nd6TlNi2
Method: DFT, PBE
State: relaxed

Structure (extended XYZ):
```
18
Lattice="-4.749 5.106 5.268 4.749 -5.106 5.268 4.749 5.106 -5.268" Properties=species:S:1:pos:R:3 pbc="T T T"
Nd 4.749 3.027 -2.861
Nd 2.804 1.875 0.000
Nd 6.695 1.875 0.000
Nd 1.813 5.106 -1.869
Nd 2.937 0.000 3.399
Nd 0.000 2.079 2.407
Nd 4.749 3.027 2.861
Nd 1.813 5.106 1.869
Nd 2.937 0.000 7.137
Nd -1.945 3.231 5.268
Nd 1.945 3.231 5.268
Nd 0.000 2.079 8.129
Tl 0.000 0.000 0.000
Tl 0.000 0.000 5.268
Ni 4.749 0.000 1.254
Ni 0.000 3.703 0.000
Ni 0.000 6.510 0.000
Ni 0.000 5.106 4.014
```

total moment = 0.00 μB per formula unit
energy of formation = -0.237 eV/atom
final energy = -4.963 eV/atom
V = 28.39 Å³/atom

Material: Nd8Tl2Ni
Method: DFT, PBE
State: relaxed

Structure (extended XYZ):
```
11
Lattice="9.627 -2.585 0.000 9.627 2.585 0.000 -1.592 0.000 6.821" Properties=species:S:1:pos:R:3 pbc="T T T"
Nd -0.188 0.000 1.906
Nd 2.745 0.000 5.542
Nd 6.027 0.000 3.488
Nd 7.837 0.000 0.246
Nd 9.825 0.000 6.575
Nd 11.635 0.000 3.333
Nd 14.917 0.000 1.279
Nd 17.850 0.000 4.915
Tl 3.127 0.000 1.741
Tl 14.536 0.000 5.080
Ni 8.831 0.000 3.410
```

total moment = 0.00 μB per formula unit
energy of formation = -0.162 eV/atom
final energy = -4.586 eV/atom
V = 30.87 Å³/atom

Material: Nd8TlNi2
Method: DFT, PBE
State: relaxed

Structure (extended XYZ):
```
11
Lattice="4.377 -6.939 0.000 4.377 6.939 0.000 -1.405 0.000 5.393" Properties=species:S:1:pos:R:3 pbc="T T T"
Nd 1.007 1.756 3.055
Nd 4.377 3.494 0.000
Nd 1.007 -1.756 3.055
Nd 3.193 0.000 1.053
Nd 4.155 0.000 4.340
Nd 6.342 1.756 2.338
Nd 4.377 -3.494 0.000
Nd 6.342 -1.756 2.338
Tl 0.000 0.000 0.000
Ni 3.674 2.796 2.697
Ni 3.674 -2.796 2.697
```

total moment = 0.00 μB per formula unit
energy of formation = -0.104 eV/atom
final energy = -4.837 eV/atom
V = 29.78 Å³/atom

Material: Nd7Tl2Ni2
Method: DFT, PBE
State: relaxed

Structure (extended XYZ):
```
11
Lattice="-1.874 8.242 5.274 1.874 -8.242 5.274 1.874 8.242 -5.274" Properties=species:S:1:pos:R:3 pbc="T T T"
Nd 0.000 0.000 0.000
Nd 1.874 6.104 -0.672
Nd 1.874 3.029 1.344
Nd 0.000 2.138 4.602
Nd 0.000 5.750 3.000
Nd 0.000 10.734 3.000
Nd 0.000 5.213 6.618
Tl 1.874 0.000 2.739
Tl 0.000 0.000 7.150
Ni 1.874 -4.335 4.658
Ni 1.874 4.335 4.658
```

total moment = 0.00 μB per formula unit
energy of formation = -0.229 eV/atom
final energy = -4.745 eV/atom
V = 29.62 Å³/atom

Material: Nd8Tl2Ni
Method: DFT, PBE
State: relaxed

Structure (extended XYZ):
```
11
Lattice="4.546 -8.240 0.000 4.546 8.240 0.000 -3.719 0.000 4.534" Properties=species:S:1:pos:R:3 pbc="T T T"
Nd 0.000 0.000 0.000
Nd -0.618 1.877 2.738
Nd 0.754 4.916 3.586
Nd -0.618 -1.877 2.738
Nd 3.310 0.000 1.640
Nd 6.034 1.884 0.134
Nd 0.754 -4.916 3.586
Nd 6.034 -1.884 0.134
Tl 2.569 3.268 1.338
Tl 2.569 -3.268 1.338
Ni 6.471 0.000 2.084
```

total moment = 0.00 μB per formula unit
energy of formation = -0.168 eV/atom
final energy = -4.591 eV/atom
V = 30.87 Å³/atom

Material: NdTlZnNi
Method: DFT, PBE
State: relaxed

Structure (extended XYZ):
```
4
Lattice="0.000 3.430 3.430 3.430 0.000 3.430 3.430 3.430 0.000" Properties=species:S:1:pos:R:3 pbc="T T T"
Nd 0.000 0.000 0.000
Tl 3.430 3.430 3.430
Zn 5.145 5.145 5.145
Ni 1.715 1.715 1.715
```

total moment = 0.00 μB per formula unit
energy of formation = -0.162 eV/atom
final energy = -3.710 eV/atom
V = 20.18 Å³/atom